Entry 1:
The following is a DFT calculation (GGA-PBE) of LaN2O2 after structural relaxation.

Summary:
DFT total energy = -5.532 eV/atom
Space-group type = No. 123
Energy above the lowest structure with this stoichiometry = 0.857 eV per atom
Formation energy (no corrections) = 0.767 eV/atom

Structure (CIF):
```
data_LaN2O2
_chemical_formula_sum 'La1 N2 O2'
_cell_length_a 4.442
_cell_length_b 4.442
_cell_length_c 5.443
_cell_angle_alpha 90.00
_cell_angle_beta 90.00
_cell_angle_gamma 90.00
_space_group_name_H-M_alt 'P 1'
_space_group_IT_number 1
loop_
_space_group_symop_operation_xyz
'x,y,z'
loop_
_atom_site_label
_atom_site_type_symbol
_atom_site_fract_x
_atom_site_fract_y
_atom_site_fract_z
La1 La 0.000 0.000 0.000
N1 N 0.000 0.000 0.500
N2 N 0.500 0.500 0.500
O1 O 0.000 0.500 0.000
O2 O 0.500 0.000 0.000
```

Entry 2:
The following is a DFT calculation (GGA-PBE) of La3NO3 after structural relaxation.

Summary:
DFT total energy = -8.030 eV/atom
Space-group type = No. 12
Formation energy (no corrections) = -2.604 eV/atom

Structure (CIF):
```
data_La3NO3
_chemical_formula_sum 'La6 N2 O6'
_cell_length_a 7.311
_cell_length_b 7.311
_cell_length_c 7.720
_cell_angle_alpha 121.58
_cell_angle_beta 121.58
_cell_angle_gamma 62.70
_space_group_name_H-M_alt 'P 1'
_space_group_IT_number 1
loop_
_space_group_symop_operation_xyz
'x,y,z'
loop_
_atom_site_label
_atom_site_type_symbol
_atom_site_fract_x
_atom_site_fract_y
_atom_site_fract_z
La1 La 0.005 0.005 0.255
La2 La 0.019 0.485 0.764
La3 La 0.485 0.019 0.764
La4 La 0.515 0.981 0.236
La5 La 0.981 0.515 0.236
La6 La 0.995 0.995 0.745
N1 N 0.237 0.237 0.952
N2 N 0.763 0.763 0.048
O1 O 0.196 0.804 0.000
O2 O 0.202 0.798 0.500
O3 O 0.245 0.245 0.549
O4 O 0.755 0.755 0.451
O5 O 0.798 0.202 0.500
O6 O 0.804 0.196 0.000
```

| no. | magnetic moment (μB/f.u.) |
| --- | --- |
| 1 | 1.84 |
| 2 | 0.00 |